No. 1
AcGdF2: optimized geometry, PBE. Values from VASP.

Calculated values
crystal system	trigonal
total DFT energy (no corrections)	-7.81	eV per atom
symmetry	R-3m (166)

```
&SYSTEM
  ibrav = 0, nat = 12, ntyp = 3
/
ATOMIC_SPECIES
Ac 227.00 Ac.upf
Gd 157.25 Gd.upf
F 19.00 F.upf
CELL_PARAMETERS angstrom
3.7532 0.0000 0.0000
-1.8766 3.2504 0.0000
0.0000 0.0000 24.3298
ATOMIC_POSITIONS crystal
Ac 0.0000 0.0000 0.0000
Ac 0.3333 0.6667 0.6667
Ac 0.6667 0.3333 0.3333
Gd 0.0000 0.0000 0.5000
Gd 0.3333 0.6667 0.1667
Gd 0.6667 0.3333 0.8333
F 0.0000 0.0000 0.4071
F 0.0000 0.0000 0.5929
F 0.3333 0.6667 0.0738
F 0.3333 0.6667 0.2596
F 0.6667 0.3333 0.7404
F 0.6667 0.3333 0.9262
```


No. 2
AcGd2F: optimized geometry, PBE. Values from VASP.

Calculated values
crystal system	trigonal
total DFT energy (no corrections)	-9.65	eV per atom
symmetry	R-3m (166)

```
&SYSTEM
  ibrav = 0, nat = 12, ntyp = 3
/
ATOMIC_SPECIES
Ac 227.00 Ac.upf
Gd 157.25 Gd.upf
F 19.00 F.upf
CELL_PARAMETERS angstrom
3.8041 0.0000 0.0000
-1.9020 3.2944 0.0000
0.0000 0.0000 31.5053
ATOMIC_POSITIONS crystal
Ac 0.0000 0.0000 0.0000
Ac 0.3333 0.6667 0.6667
Ac 0.6667 0.3333 0.3333
Gd 0.0000 0.0000 0.4293
Gd 0.0000 0.0000 0.5707
Gd 0.3333 0.6667 0.0960
Gd 0.3333 0.6667 0.2373
Gd 0.6667 0.3333 0.7627
Gd 0.6667 0.3333 0.9040
F 0.0000 0.0000 0.5000
F 0.3333 0.6667 0.1667
F 0.6667 0.3333 0.8333
```


No. 3
AcGd3F: optimized geometry, PBE. Values from VASP.

Calculated values
crystal system	cubic
total DFT energy (no corrections)	-10.54	eV per atom
symmetry	Pm-3m (221)

```
&SYSTEM
  ibrav = 0, nat = 5, ntyp = 3
/
ATOMIC_SPECIES
Ac 227.00 Ac.upf
Gd 157.25 Gd.upf
F 19.00 F.upf
CELL_PARAMETERS angstrom
5.2321 0.0000 0.0000
0.0000 5.2321 0.0000
0.0000 0.0000 5.2321
ATOMIC_POSITIONS crystal
Ac 0.0000 0.0000 0.0000
Gd 0.0000 0.5000 0.5000
Gd 0.5000 0.0000 0.5000
Gd 0.5000 0.5000 0.0000
F 0.5000 0.5000 0.5000
```


No. 4
Ac3Ge2F: optimized geometry, PBE. Values from VASP.

Calculated values
crystal system	orthorhombic
excess energy over the best structure of this formula in the dataset	0	meV/atom
total DFT energy (no corrections)	-5.34	eV per atom
symmetry	Pnma (62)

```
&SYSTEM
  ibrav = 0, nat = 24, ntyp = 3
/
ATOMIC_SPECIES
Ac 227.00 Ac.upf
Ge 72.64 Ge.upf
F 19.00 F.upf
CELL_PARAMETERS angstrom
8.9953 0.0000 0.0000
0.0000 4.5404 0.0000
0.0000 0.0000 17.8559
ATOMIC_POSITIONS crystal
Ac 0.0148 0.2500 0.1016
Ac 0.1240 0.7500 0.4273
Ac 0.1692 0.2500 0.7202
Ac 0.3308 0.7500 0.2202
Ac 0.3760 0.2500 0.9273
Ac 0.4852 0.7500 0.6016
Ac 0.5148 0.2500 0.3984
Ac 0.6240 0.7500 0.0727
Ac 0.6692 0.2500 0.7798
Ac 0.8308 0.7500 0.2798
Ac 0.8760 0.2500 0.5727
Ac 0.9852 0.7500 0.8984
Ge 0.1009 0.2500 0.2852
Ge 0.2460 0.7500 0.0363
Ge 0.2540 0.2500 0.5363
Ge 0.3991 0.7500 0.7852
Ge 0.6009 0.2500 0.2148
Ge 0.7460 0.7500 0.4637
Ge 0.7540 0.2500 0.9637
Ge 0.8991 0.7500 0.7148
F 0.1116 0.2500 0.8646
F 0.3884 0.7500 0.3646
F 0.6116 0.2500 0.6354
F 0.8884 0.7500 0.1354
```


No. 5
Ac3GeF: optimized geometry, PBE. Values from VASP.

Calculated values
crystal system	cubic
excess energy over the best structure of this formula in the dataset	249	meV/atom
total DFT energy (no corrections)	-4.70	eV per atom
symmetry	Pm-3m (221)

```
&SYSTEM
  ibrav = 0, nat = 5, ntyp = 3
/
ATOMIC_SPECIES
Ac 227.00 Ac.upf
Ge 72.64 Ge.upf
F 19.00 F.upf
CELL_PARAMETERS angstrom
5.3226 0.0000 0.0000
0.0000 5.3226 0.0000
0.0000 0.0000 5.3226
ATOMIC_POSITIONS crystal
Ac 0.0000 0.0000 0.5000
Ac 0.0000 0.5000 0.0000
Ac 0.5000 0.0000 0.0000
Ge 0.5000 0.5000 0.5000
F 0.0000 0.0000 0.0000
```


No. 6
Ac6Ge5F: optimized geometry, PBE. Values from VASP.

Calculated values
crystal system	monoclinic
total DFT energy (no corrections)	-5.07	eV per atom
symmetry	C2/m (12)

```
&SYSTEM
  ibrav = 0, nat = 12, ntyp = 3
/
ATOMIC_SPECIES
Ac 227.00 Ac.upf
Ge 72.64 Ge.upf
F 19.00 F.upf
CELL_PARAMETERS angstrom
3.9131 -6.8096 0.0000
3.9131 6.8096 0.0000
-2.6105 0.0000 7.3480
ATOMIC_POSITIONS crystal
Ac 0.0839 0.4096 0.7497
Ac 0.2423 0.2423 0.2546
Ac 0.4096 0.0839 0.7497
Ac 0.5904 0.9161 0.2503
Ac 0.7577 0.7577 0.7454
Ac 0.9161 0.5904 0.2503
Ge 0.1673 0.8327 0.0000
Ge 0.3328 0.6672 0.5000
Ge 0.5000 0.5000 0.0000
Ge 0.6672 0.3328 0.5000
Ge 0.8327 0.1673 0.0000
F 0.0000 0.0000 0.5000
```


No. 7
Ac5Ge3F: optimized geometry, PBE. Values from VASP.

Calculated values
crystal system	tetragonal
total DFT energy (no corrections)	-5.12	eV per atom
symmetry	I4/mcm (140)

```
&SYSTEM
  ibrav = 0, nat = 18, ntyp = 3
/
ATOMIC_SPECIES
Ac 227.00 Ac.upf
Ge 72.64 Ge.upf
F 19.00 F.upf
CELL_PARAMETERS angstrom
-4.3190 4.3190 7.3952
4.3190 -4.3190 7.3952
4.3190 4.3190 -7.3952
ATOMIC_POSITIONS crystal
Ac 0.0000 0.0000 0.0000
Ac 0.0253 0.5253 0.8341
Ac 0.1912 0.0253 0.5000
Ac 0.3088 0.8088 0.8341
Ac 0.4747 0.3088 0.5000
Ac 0.5000 0.5000 0.0000
Ac 0.5253 0.6912 0.5000
Ac 0.6912 0.1912 0.1659
Ac 0.8088 0.9747 0.5000
Ac 0.9747 0.4747 0.1659
Ge 0.1345 0.3655 0.5000
Ge 0.2500 0.2500 0.0000
Ge 0.3655 0.8655 0.2309
Ge 0.6345 0.1345 0.7691
Ge 0.7500 0.7500 0.0000
Ge 0.8655 0.6345 0.5000
F 0.2500 0.7500 0.5000
F 0.7500 0.2500 0.5000
```


No. 8
Ac2GeF2: optimized geometry, PBE. Values from VASP.

Calculated values
crystal system	trigonal
total DFT energy (no corrections)	-5.82	eV per atom
symmetry	P-3m1 (164)

```
&SYSTEM
  ibrav = 0, nat = 5, ntyp = 3
/
ATOMIC_SPECIES
Ac 227.00 Ac.upf
Ge 72.64 Ge.upf
F 19.00 F.upf
CELL_PARAMETERS angstrom
4.4904 0.0000 0.0000
-2.2452 3.8888 0.0000
0.0000 0.0000 7.2828
ATOMIC_POSITIONS crystal
Ac 0.3333 0.6667 0.2457
Ac 0.6667 0.3333 0.7543
Ge 0.0000 0.0000 0.0000
F 0.3333 0.6667 0.6034
F 0.6667 0.3333 0.3966
```


No. 9
Ac3GeF: optimized geometry, PBE. Values from VASP.

Calculated values
crystal system	monoclinic
excess energy over the best structure of this formula in the dataset	0	meV/atom
total DFT energy (no corrections)	-4.95	eV per atom
symmetry	P2_1/c (14)

```
&SYSTEM
  ibrav = 0, nat = 20, ntyp = 3
/
ATOMIC_SPECIES
Ac 227.00 Ac.upf
Ge 72.64 Ge.upf
F 19.00 F.upf
CELL_PARAMETERS angstrom
9.5456 0.0000 0.0000
0.0000 6.5856 0.0000
-2.8312 0.0000 10.5659
ATOMIC_POSITIONS crystal
Ac 0.0177 0.0317 0.1789
Ac 0.0177 0.4683 0.6789
Ac 0.1968 0.5212 0.0414
Ac 0.1968 0.9788 0.5414
Ac 0.4457 0.2403 0.8577
Ac 0.4457 0.2597 0.3577
Ac 0.5543 0.7403 0.6423
Ac 0.5543 0.7597 0.1423
Ac 0.8032 0.0212 0.4586
Ac 0.8032 0.4788 0.9586
Ac 0.9823 0.5317 0.3211
Ac 0.9823 0.9683 0.8211
Ge 0.3284 0.7339 0.3355
Ge 0.3284 0.7661 0.8355
Ge 0.6716 0.2339 0.1645
Ge 0.6716 0.2661 0.6645
F 0.2522 0.1950 0.1571
F 0.2522 0.3050 0.6571
F 0.7478 0.6950 0.3429
F 0.7478 0.8050 0.8429
```


Uncorrected formation energy for the records above, in order: -2329, -1120, -891, -1430, -940, -939, -1090, -2501, -1189 meV per atom